Record 1
An optimized crystal structure of AcSm3Rh, computed with PBE.

Computed properties:
The electronic total energy comes out at -54.118 eV/cell. Its size of the total moment is 0.00 μB per cell. The space group is P6_3/mmc (194). The value obtained for the formation energy is -0.288 eV per atom. The excess energy over the best structure of this formula in the dataset is 0 meV per atom.

a b c (Å): 7.8815 7.8815 6.0883
angles (deg): 90.00 90.00 120.00
With the nearest neighbours (Å) after each atom.
Atoms (fractional coordinates):
Ac  0.3333  0.6667  0.2500  12 Sm 3.73-3.94
Ac  0.6667  0.3333  0.7500  12 Sm 3.73-3.94
Sm  0.1751  0.3502  0.7500  2 Rh 2.83
Sm  0.1751  0.8249  0.7500  2 Rh 2.83
Sm  0.3502  0.1751  0.2500  2 Rh 2.83
Sm  0.6498  0.8249  0.7500  2 Rh 2.83
Sm  0.8249  0.1751  0.2500  2 Rh 2.83
Sm  0.8249  0.6498  0.2500  2 Rh 2.83
Rh  0.0000  0.0000  0.0000  6 Sm 2.83, 2 Rh 3.04
Rh  0.0000  0.0000  0.5000  6 Sm 2.83, 2 Rh 3.04



Record 2
An optimized crystal structure of Ac2SmRh2, computed with PBE.

Computed properties:
The electronic total energy comes out at -61.384 eV/cell. Its size of the total moment is 0.00 μB per cell. The space group is Cmc2_1 (36). The value obtained for the formation energy is -0.611 eV per atom. The excess energy over the best structure of this formula in the dataset is 0 meV per atom.

a b c (Å): 7.2409 7.2409 10.1594
angles (deg): 90.00 90.00 146.32
With the nearest neighbours (Å) after each atom.
Atoms (fractional coordinates):
Ac  0.1414  0.8586  0.5000  4 Rh 2.95-3.28
Ac  0.1422  0.8578  0.1300  4 Rh 2.95-3.28
Ac  0.8578  0.1422  0.6300  4 Rh 2.95-3.28
Ac  0.8586  0.1414  0.0000  4 Rh 2.95-3.28
Sm  0.4037  0.5963  0.3152  4 Rh 2.86-2.87
Sm  0.5963  0.4037  0.8152  4 Rh 2.86-2.87
Rh  0.2369  0.7631  0.8153  2 Sm 2.86
Rh  0.5003  0.4997  0.0654  2 Sm 2.87, 4 Ac 2.95
Rh  0.4997  0.5003  0.5654  2 Sm 2.87, 4 Ac 2.95
Rh  0.7631  0.2369  0.3153  2 Sm 2.86



Record 3
An optimized crystal structure of Ac12SmRh7, computed with PBE.

Computed properties:
The electronic total energy comes out at -116.556 eV/cell. Its size of the total moment is 0.00 μB per cell. The space group is R-3 (148). The value obtained for the formation energy is -0.554 eV per atom.

a b c (Å): 9.5113 9.5113 9.5113
angles (deg): 107.32 107.32 107.32
With the nearest neighbours (Å) after each atom.
Atoms (fractional coordinates):
Ac  0.0499  0.1267  0.3448  3 Rh 2.94-3.01
Ac  0.1267  0.3448  0.0499  3 Rh 2.94-3.01
Ac  0.1882  0.5762  0.7215  3 Rh 2.93-2.96
Ac  0.2785  0.8118  0.4238  3 Rh 2.93-2.96
Ac  0.3448  0.0499  0.1267  3 Rh 2.94-3.01
Ac  0.4238  0.2785  0.8118  3 Rh 2.93-2.96
Ac  0.5762  0.7215  0.1882  3 Rh 2.93-2.96
Ac  0.6552  0.9501  0.8733  3 Rh 2.94-3.01
Ac  0.7215  0.1882  0.5762  3 Rh 2.93-2.96
Ac  0.8118  0.4238  0.2785  3 Rh 2.93-2.96
Ac  0.8733  0.6552  0.9501  3 Rh 2.94-3.01
Ac  0.9501  0.8733  0.6552  3 Rh 2.94-3.01
Sm  0.5000  0.5000  0.5000  6 Rh 3.07
Rh  0.0000  0.0000  0.0000  6 Ac 2.97
Rh  0.1514  0.4723  0.3822  5 Ac 2.93-3.01, 1 Sm 3.07
Rh  0.3822  0.1514  0.4723  5 Ac 2.93-3.01, 1 Sm 3.07
Rh  0.4723  0.3822  0.1514  5 Ac 2.93-3.01, 1 Sm 3.07
Rh  0.5277  0.6178  0.8486  5 Ac 2.93-3.01, 1 Sm 3.07
Rh  0.6178  0.8486  0.5277  5 Ac 2.93-3.01, 1 Sm 3.07
Rh  0.8486  0.5277  0.6178  5 Ac 2.93-3.01, 1 Sm 3.07



Record 4
An optimized crystal structure of AcSm2Rh, computed with PBE.

Computed properties:
The electronic total energy comes out at -21.679 eV/cell. Its size of the total moment is 0.00 μB per cell. The space group is R-3m (166). The value obtained for the formation energy is -0.195 eV per atom. The excess energy over the best structure of this formula in the dataset is 242 meV per atom.

a b c (Å): 11.0645 11.0645 11.0645
angles (deg): 20.38 20.38 20.38
With the nearest neighbours (Å) after each atom.
Atoms (fractional coordinates):
Ac  0.0000  0.0000  0.0000  2 Sm 3.79, 6 Ac 3.92
Sm  0.1167  0.1167  0.1167  3 Rh 2.78
Sm  0.8833  0.8833  0.8833  3 Rh 2.78
Rh  0.5000  0.5000  0.5000  6 Sm 2.78



Record 5
An optimized crystal structure of AcSm4Rh4, computed with PBE.

Computed properties:
The electronic total energy comes out at -115.722 eV/cell. Its size of the total moment is 0.00 μB per cell. The space group is P4_2/n (86). The value obtained for the formation energy is -0.608 eV per atom.

a b c (Å): 9.1673 9.1673 5.7172
angles (deg): 90.00 90.00 90.00
With the nearest neighbours (Å) after each atom.
Atoms (fractional coordinates):
Ac  0.2500  0.2500  0.2500  4 Rh 2.95
Ac  0.7500  0.7500  0.7500  4 Rh 2.95
Sm  0.0767  0.6528  0.1756  5 Rh 2.84-2.96
Sm  0.1528  0.9233  0.6756  5 Rh 2.84-2.96
Sm  0.3472  0.5767  0.6756  5 Rh 2.84-2.96
Sm  0.4233  0.8472  0.1756  5 Rh 2.84-2.96
Sm  0.5767  0.1528  0.8244  5 Rh 2.84-2.96
Sm  0.6528  0.4233  0.3244  5 Rh 2.84-2.96
Sm  0.8472  0.0767  0.3244  5 Rh 2.84-2.96
Sm  0.9233  0.3472  0.8244  5 Rh 2.84-2.96
Rh  0.0409  0.6206  0.6710  5 Sm 2.84-2.96, 1 Ac 2.95, 1 Rh 3.04
Rh  0.1206  0.9591  0.1710  5 Sm 2.84-2.96, 1 Ac 2.95, 1 Rh 3.04
Rh  0.3794  0.5409  0.1710  5 Sm 2.84-2.96, 1 Ac 2.95, 1 Rh 3.04
Rh  0.4591  0.8794  0.6710  5 Sm 2.84-2.96, 1 Ac 2.95, 1 Rh 3.04
Rh  0.5409  0.1206  0.3290  5 Sm 2.84-2.96, 1 Ac 2.95, 1 Rh 3.04
Rh  0.6206  0.4591  0.8290  5 Sm 2.84-2.96, 1 Ac 2.95, 1 Rh 3.04
Rh  0.8794  0.0409  0.8290  5 Sm 2.84-2.96, 1 Ac 2.95, 1 Rh 3.04
Rh  0.9591  0.3794  0.3290  5 Sm 2.84-2.96, 1 Ac 2.95, 1 Rh 3.04



Record 6
An optimized crystal structure of Ac2Sm3Rh2, computed with PBE.

Computed properties:
The electronic total energy comes out at -40.491 eV/cell. Its size of the total moment is 0.00 μB per cell. The space group is C2/m (12). The value obtained for the formation energy is -0.488 eV per atom.

a b c (Å): 6.6381 6.6381 9.4060
angles (deg): 114.57 114.57 34.82
With the nearest neighbours (Å) after each atom.
Atoms (fractional coordinates):
Ac  0.1653  0.1653  0.2994  2 Rh 3.03
Ac  0.8347  0.8347  0.7006  2 Rh 3.03
Sm  0.3804  0.3804  0.0771  3 Rh 2.85-3.09
Sm  0.5000  0.5000  0.5000  4 Rh 3.10
Sm  0.6196  0.6196  0.9229  3 Rh 2.85-3.09
Rh  0.1709  0.1709  0.7449  5 Sm 2.85-3.10, 2 Ac 3.03
Rh  0.8291  0.8291  0.2551  5 Sm 2.85-3.10, 2 Ac 3.03



Record 7
An optimized crystal structure of AcSm2Rh, computed with PBE.

Computed properties:
The electronic total energy comes out at -45.107 eV/cell. Its size of the total moment is 0.00 μB per cell. The space group is P2_1/m (11). The value obtained for the formation energy is -0.414 eV per atom. The excess energy over the best structure of this formula in the dataset is 23 meV per atom.

a b c (Å): 3.9618 9.9786 6.5281
angles (deg): 90.00 107.62 90.00
With the nearest neighbours (Å) after each atom.
Atoms (fractional coordinates):
Ac  0.0777  0.2500  0.1563  2 Rh 3.06
Ac  0.9223  0.7500  0.8437  2 Rh 3.06
Sm  0.3560  0.0695  0.7118  2 Rh 2.90-2.91
Sm  0.3560  0.4305  0.7118  2 Rh 2.90-2.91
Sm  0.6440  0.5695  0.2882  2 Rh 2.90-2.91
Sm  0.6440  0.9305  0.2882  2 Rh 2.90-2.91
Rh  0.2348  0.7500  0.4691  4 Sm 2.90-2.91, 2 Ac 3.06
Rh  0.7652  0.2500  0.5309  4 Sm 2.90-2.91, 2 Ac 3.06



Record 8
An optimized crystal structure of AcSm2Rh9, computed with PBE.

Computed properties:
The electronic total energy comes out at -85.898 eV/cell. Its size of the total moment is 0.00 μB per cell. The space group is R-3m (166). The value obtained for the formation energy is -0.516 eV per atom.

a b c (Å): 9.3737 9.3737 9.3737
angles (deg): 33.21 33.21 33.21
With the nearest neighbours (Å) after each atom.
Atoms (fractional coordinates):
Ac  0.0000  0.0000  0.0000  6 Rh 3.09
Sm  0.1397  0.1397  0.1397  12 Rh 3.07-3.31, 3 Sm 3.41
Sm  0.8603  0.8603  0.8603  12 Rh 3.07-3.31, 3 Sm 3.41
Rh  0.0834  0.5832  0.5832  7 Rh 2.68-2.71
Rh  0.3328  0.3328  0.3328  6 Rh 2.69-2.71
Rh  0.4168  0.4168  0.9166  7 Rh 2.68-2.71
Rh  0.4168  0.9166  0.4168  7 Rh 2.68-2.71
Rh  0.5000  0.5000  0.5000  6 Rh 2.70
Rh  0.5832  0.0834  0.5832  7 Rh 2.68-2.71
Rh  0.5832  0.5832  0.0834  7 Rh 2.68-2.71
Rh  0.6672  0.6672  0.6672  6 Rh 2.69-2.71
Rh  0.9166  0.4168  0.4168  7 Rh 2.68-2.71